Record 1
Here is a geometry-optimized CoNiRh structure from Alexandria. Energies are from GGA-PBEsol.

SG ... No. 187
DFT total energy ... -7.236 eV per atom
Energy of formation ... 0.11 eV/atom
Size of the total moment ... 3.372 μB/f.u.
N(E_F) ... 1.186 states/eV per atom

Unit cell a=2.534 b=4.005 c=4.005 alpha=120.00 beta=90.00 gamma=90.00
Fractional coordinates of all 3 atoms:
Ni 0.000 0.667 0.333
Co 0.000 0.000 0.000
Rh 0.500 0.333 0.667

---

Record 2
Here is a geometry-optimized CoNiRh3 structure from Alexandria. Energies are from GGA-PBEsol.

SG ... No. 221
DFT total energy ... -6.137 eV per atom
Energy of formation ... 1.52 eV/atom
Size of the total moment ... 5.177 μB/f.u.
N(E_F) ... 1.875 states/eV per atom

Unit cell a=4.337 b=4.337 c=4.337 alpha=90.00 beta=90.00 gamma=90.00
Fractional coordinates of all 5 atoms:
Ni 0.000 0.000 0.000
Rh 0.000 0.500 0.000
Rh 0.000 0.000 0.500
Rh 0.500 0.000 0.000
Co 0.500 0.500 0.500

---

Record 3
Here is a geometry-optimized CoNi2Ru structure from Alexandria. Energies are from GGA-PBEsol.

SG ... No. 119
DFT total energy ... -7.461 eV per atom
Energy of formation ... 0.09 eV/atom
Size of the total moment ... 0.007 μB/f.u.
N(E_F) ... 1.157 states/eV per atom

Unit cell a=3.508 b=3.508 c=4.340 alpha=113.84 beta=113.84 gamma=90.00
Fractional coordinates of all 4 atoms:
Ni 0.000 0.000 0.000
Ni 0.750 0.250 0.500
Ru 0.500 0.500 0.000
Co 0.250 0.750 0.500

---

Record 4
Here is a geometry-optimized CoNiRu2 structure from Alexandria. Energies are from GGA-PBEsol.

SG ... No. 166
DFT total energy ... -8.385 eV per atom
Energy of formation ... 0.17 eV/atom
Size of the total moment ... 0.916 μB/f.u.
N(E_F) ... 1.303 states/eV per atom

Unit cell a=2.585 b=2.585 c=8.401 alpha=81.15 beta=81.15 gamma=60.00
Fractional coordinates of all 4 atoms:
Ru 0.249 0.249 0.253
Ru 0.751 0.751 0.747
Ni 0.000 0.000 0.000
Co 0.500 0.500 0.500

---

Record 5
Here is a geometry-optimized CoNiRu2 structure from Alexandria. Energies are from GGA-PBEsol.

SG ... No. 71
DFT total energy ... -8.154 eV per atom
Energy of formation ... 0.41 eV/atom
Size of the total moment ... 1.973 μB/f.u.
N(E_F) ... 1.386 states/eV per atom

Unit cell a=2.672 b=4.187 c=5.099 alpha=114.24 beta=105.19 gamma=90.00
Fractional coordinates of all 4 atoms:
Co 0.500 0.000 0.000
Ni 0.000 0.500 0.000
Ru 0.277 0.277 0.554
Ru 0.723 0.723 0.446

---

Record 6
Here is a geometry-optimized CoNi2Ru structure from Alexandria. Energies are from GGA-PBEsol.

SG ... No. 47
DFT total energy ... -7.422 eV per atom
Energy of formation ... 0.13 eV/atom
Size of the total moment ... 2.225 μB/f.u.
N(E_F) ... 1.607 states/eV per atom

Unit cell a=2.495 b=3.597 c=4.978 alpha=90.00 beta=90.00 gamma=90.00
Fractional coordinates of all 4 atoms:
Ni 0.000 0.000 0.256
Ni 0.000 0.000 0.744
Co 0.500 0.500 0.500
Ru 0.500 0.500 0.000

---

Record 7
Here is a geometry-optimized Co2NiRu structure from Alexandria. Energies are from GGA-PBEsol.

SG ... No. 99
DFT total energy ... -7.832 eV per atom
Energy of formation ... 0.12 eV/atom
Size of the total moment ... 3.321 μB/f.u.
N(E_F) ... 1.422 states/eV per atom

Unit cell a=2.521 b=2.521 c=7.016 alpha=90.00 beta=90.00 gamma=90.00
Fractional coordinates of all 4 atoms:
Co 0.500 0.500 0.246
Co 0.000 0.000 0.012
Ru 0.500 0.500 0.754
Ni 0.000 0.000 0.489

---

Record 8
Here is a geometry-optimized Co2NiRu structure from Alexandria. Energies are from GGA-PBEsol.

SG ... No. 47
DFT total energy ... -7.825 eV per atom
Energy of formation ... 0.13 eV/atom
Size of the total moment ... 1.958 μB/f.u.
N(E_F) ... 1.673 states/eV per atom

Unit cell a=2.527 b=3.502 c=4.977 alpha=90.00 beta=90.00 gamma=90.00
Fractional coordinates of all 4 atoms:
Ni 0.500 0.500 0.000
Co 0.000 0.000 0.245
Co 0.000 0.000 0.755
Ru 0.500 0.500 0.500

---

Record 9
Here is a geometry-optimized Co2NiRu structure from Alexandria. Energies are from GGA-PBEsol.

SG ... No. 65
DFT total energy ... -7.808 eV per atom
Energy of formation ... 0.14 eV/atom
Size of the total moment ... 3.278 μB/f.u.
N(E_F) ... 1.484 states/eV per atom

Unit cell a=2.501 b=4.358 c=4.358 alpha=109.87 beta=90.00 gamma=90.00
Fractional coordinates of all 4 atoms:
Ru 0.500 0.500 0.500
Co 0.000 0.500 0.000
Co 0.000 0.000 0.500
Ni 0.500 0.000 0.000

---

Record 10
Here is a geometry-optimized Co2NiRu structure from Alexandria. Energies are from GGA-PBEsol.

SG ... No. 123
DFT total energy ... -7.800 eV per atom
Energy of formation ... 0.15 eV/atom
Size of the total moment ... 3.444 μB/f.u.
N(E_F) ... 1.353 states/eV per atom

Unit cell a=3.510 b=3.554 c=3.554 alpha=90.00 beta=90.00 gamma=90.00
Fractional coordinates of all 4 atoms:
Ru 0.500 0.000 0.000
Co 0.000 0.500 0.000
Co 0.000 0.000 0.500
Ni 0.500 0.500 0.500

---

Record 11
Here is a geometry-optimized ScCo2NiRu structure from Alexandria. Energies are from GGA-PBEsol.

SG ... No. 123
DFT total energy ... -6.739 eV per atom
Energy of formation ... 0.94 eV/atom
Size of the total moment ... 4.776 μB/f.u.
N(E_F) ... 1.212 states/eV per atom

Unit cell a=4.158 b=4.158 c=4.442 alpha=90.00 beta=90.00 gamma=90.00
Fractional coordinates of all 5 atoms:
Co 0.500 0.000 0.000
Co 0.000 0.500 0.000
Ru 0.500 0.500 0.500
Ni 0.000 0.000 0.000
Sc 0.000 0.000 0.500

---

Record 12
Here is a geometry-optimized CoNiS4 structure from Alexandria. Energies are from GGA-PBEsol.

Formation energy (no corrections) ... -41.5 kJ/mol of atoms
SG ... No. 14
DFT total energy ... -5.669 eV per atom
Size of the total moment ... 0.002 μB/f.u.
N(E_F) ... 0.757 states/eV per atom

Unit cell a=5.445 b=5.450 c=5.460 alpha=90.00 beta=90.27 gamma=90.00
Fractional coordinates of all 12 atoms:
S 0.109 0.609 0.883
S 0.882 0.882 0.391
S 0.891 0.391 0.117
S 0.118 0.118 0.609
S 0.618 0.382 0.609
S 0.391 0.109 0.117
S 0.382 0.618 0.391
S 0.609 0.891 0.883
Ni 0.000 0.000 0.000
Ni 0.500 0.500 0.000
Co 0.000 0.500 0.500
Co 0.500 0.000 0.500